Record 1
{"formula": "ZrFe2SN", "functional": "GGA-PBEsol", "state": "relaxed", "formation_energy_uncorrected_ev_per_atom": 1.36, "total_magnetization_mub_per_fu": 5.33, "crystal_system": "tetragonal", "lattice": [[4.821, 0.000, 0.000], [0.000, 4.821, 0.000], [0.000, 0.000, 3.898]], "species": ["Zr", "Fe", "Fe", "S", "N"], "frac_coords": [[0.000, 0.000, 0.000], [0.000, 0.500, 0.000], [0.500, 0.000, 0.000], [0.500, 0.500, 0.500], [0.000, 0.000, 0.500]]}

=====

Record 2
{"formula": "LaZn2Ru", "functional": "GGA-PBEsol", "state": "relaxed", "total_magnetization_mub_per_fu": 0.00, "crystal_system": "monoclinic", "formation_energy_ev_per_fu": -0.62, "lattice": [[3.725, -2.147, 0.000], [3.725, 2.147, 0.000], [-2.491, 0.000, 4.940]], "species": ["La", "Zn", "Zn", "Ru"], "frac_coords": [[0.000, 0.000, 0.000], [0.198, 0.198, 0.598], [0.485, 0.485, 0.457], [0.797, 0.797, 0.395]]}

=====

Record 3
{"formula": "Ta2SnPPb", "functional": "GGA-PBEsol", "state": "relaxed", "total_magnetization_mub_per_fu": 0.00, "crystal_system": "tetragonal", "formation_energy_ev_per_fu": 10.39, "lattice": [[5.201, 0.000, 0.000], [0.000, 5.201, 0.000], [0.000, 0.000, 4.854]], "species": ["Ta", "Ta", "Sn", "P", "Pb"], "frac_coords": [[0.000, 0.500, 0.000], [0.500, 0.000, 0.000], [0.000, 0.000, 0.500], [0.500, 0.500, 0.500], [0.500, 0.500, 0.000]]}

=====

Record 4
{"formula": "Ba2Mg", "functional": "GGA-PBEsol", "state": "relaxed", "total_magnetization_mub_per_fu": 0.00, "crystal_system": "orthorhombic", "formation_energy_ev_per_fu": -0.01, "lattice": [[2.209, -9.674, 0.000], [2.209, 9.674, 0.000], [0.000, 0.000, 6.348]], "species": ["Ba", "Ba", "Ba", "Ba", "Mg", "Mg"], "frac_coords": [[0.073, 0.927, 0.750], [0.232, 0.768, 0.250], [0.768, 0.232, 0.750], [0.927, 0.073, 0.250], [0.415, 0.585, 0.750], [0.585, 0.415, 0.250]]}

=====

Record 5
{"formula": "RbFe3Bi", "functional": "GGA-PBEsol", "state": "relaxed", "total_magnetization_mub_per_fu": 7.94, "crystal_system": "cubic", "formation_energy_ev_per_fu": 11.86, "lattice": [[4.687, 0.000, 0.000], [0.000, 4.687, 0.000], [0.000, 0.000, 4.687]], "species": ["Rb", "Fe", "Fe", "Fe", "Bi"], "frac_coords": [[0.000, 0.000, 0.000], [0.000, 0.000, 0.500], [0.000, 0.500, 0.000], [0.500, 0.000, 0.000], [0.500, 0.500, 0.500]]}

=====

Record 6
{"formula": "Ca11C2N10", "functional": "GGA-PBEsol", "state": "relaxed", "formation_energy_uncorrected_ev_per_atom": -0.94, "total_magnetization_mub_per_fu": 0.00, "crystal_system": "tetragonal", "lattice": [[14.373, 0.000, 0.000], [0.000, 14.373, 0.000], [0.000, 0.000, 3.569]], "species": ["Ca", "Ca", "Ca", "Ca", "Ca", "Ca", "Ca", "Ca", "Ca", "Ca", "Ca", "Ca", "Ca", "Ca", "Ca", "Ca", "Ca", "Ca", "Ca", "Ca", "Ca", "Ca", "C", "C", "C", "C", "N", "N", "N", "N", "N", "N", "N", "N", "N", "N", "N", "N", "N", "N", "N", "N", "N", "N", "N", "N"], "frac_coords": [[0.000, 0.000, 0.000], [0.020, 0.205, 0.500], [0.107, 0.619, 0.500], [0.119, 0.393, 0.000], [0.167, 0.833, 0.000], [0.205, 0.020, 0.500], [0.295, 0.520, 0.000], [0.333, 0.333, 0.500], [0.381, 0.893, 0.500], [0.393, 0.119, 0.000], [0.480, 0.705, 0.000], [0.500, 0.500, 0.500], [0.520, 0.295, 0.000], [0.607, 0.881, 0.000], [0.619, 0.107, 0.500], [0.667, 0.667, 0.500], [0.705, 0.480, 0.000], [0.795, 0.980, 0.500], [0.833, 0.167, 0.000], [0.881, 0.607, 0.000], [0.893, 0.381, 0.500], [0.980, 0.795, 0.500], [0.184, 0.184, 0.000], [0.316, 0.684, 0.500], [0.684, 0.316, 0.500], [0.816, 0.816, 0.000], [0.028, 0.689, 0.000], [0.090, 0.910, 0.500], [0.123, 0.123, 0.000], [0.189, 0.472, 0.500], [0.245, 0.245, 0.000], [0.255, 0.745, 0.500], [0.311, 0.972, 0.000], [0.377, 0.623, 0.500], [0.410, 0.410, 0.000], [0.472, 0.189, 0.500], [0.528, 0.811, 0.500], [0.590, 0.590, 0.000], [0.623, 0.377, 0.500], [0.689, 0.028, 0.000], [0.745, 0.255, 0.500], [0.755, 0.755, 0.000], [0.811, 0.528, 0.500], [0.877, 0.877, 0.000], [0.910, 0.090, 0.500], [0.972, 0.311, 0.000]]}

=====

Record 7
{"formula": "Li4Co3Ni5O16", "functional": "GGA-PBEsol", "state": "relaxed", "formation_energy_uncorrected_ev_per_atom": -1.18, "total_magnetization_mub_per_fu": 0.85, "crystal_system": "monoclinic", "lattice": [[4.822, -2.788, 0.000], [4.822, 2.788, 0.000], [-0.017, 0.000, 9.060]], "species": ["Li", "Li", "Li", "Li", "Co", "Co", "Co", "Ni", "Ni", "Ni", "Ni", "Ni", "O", "O", "O", "O", "O", "O", "O", "O", "O", "O", "O", "O", "O", "O", "O", "O"], "frac_coords": [[0.000, 0.000, 0.000], [0.004, 0.004, 0.501], [0.336, 0.336, 0.903], [0.672, 0.672, 0.404], [0.173, 0.173, 0.218], [0.343, 0.831, 0.717], [0.831, 0.343, 0.717], [0.173, 0.665, 0.219], [0.336, 0.336, 0.494], [0.665, 0.173, 0.219], [0.668, 0.668, 0.992], [0.833, 0.833, 0.718], [0.003, 0.003, 0.811], [0.004, 0.004, 0.311], [0.044, 0.481, 0.343], [0.166, 0.166, 0.606], [0.167, 0.677, 0.603], [0.327, 0.841, 0.103], [0.337, 0.337, 0.116], [0.481, 0.044, 0.343], [0.484, 0.484, 0.347], [0.521, 0.521, 0.839], [0.521, 0.962, 0.843], [0.670, 0.670, 0.615], [0.677, 0.167, 0.603], [0.837, 0.837, 0.105], [0.841, 0.327, 0.103], [0.962, 0.521, 0.843]]}

=====

Record 8
{"formula": "ReOs2Rh", "functional": "GGA-PBEsol", "state": "relaxed", "total_magnetization_mub_per_fu": 0.00, "crystal_system": "trigonal", "polymorph_energy_ev_per_atom": 0.0124, "formation_energy_ev_per_fu": 0.22, "lattice": [[1.352, 0.780, 8.846], [-1.352, 0.780, 8.846], [0.000, -1.561, 8.846]], "species": ["Re", "Os", "Os", "Rh"], "frac_coords": [[0.000, 0.000, 0.000], [0.500, 0.500, 0.500], [0.750, 0.750, 0.750], [0.250, 0.250, 0.250]]}